{
  "formula": "BaScCl3",
  "functional": "PBE",
  "state": "optimized geometry",
  "lattice": [[5.0704, 0.0000, 0.0000], [0.0000, 5.0704, 0.0000], [0.0000, 0.0000, 5.0704]],
  "species": ["Ba", "Sc", "Cl", "Cl", "Cl"],
  "fractional_positions": [[0.0000, 0.0000, 0.0000], [0.5000, 0.5000, 0.5000], [0.0000, 0.5000, 0.5000], [0.5000, 0.0000, 0.5000], [0.5000, 0.5000, 0.0000]],
  "polymorph_energy_mev_per_atom": 0,
  "rho_g_cm3": 3.68,
  "raw_formation_energy_ev_per_atom": -1.705,
  "volume_a3_per_atom": 26.07
}



{
  "formula": "LaYZnPt",
  "functional": "PBE",
  "state": "optimized geometry",
  "lattice": [[7.2525, 0.0000, 0.0000], [0.0000, 7.2525, 0.0000], [0.0000, 0.0000, 7.2525]],
  "species": ["La", "La", "La", "La", "Y", "Y", "Y", "Y", "Zn", "Zn", "Zn", "Zn", "Pt", "Pt", "Pt", "Pt"],
  "fractional_positions": [[0.0000, 0.0000, 0.0000], [0.0000, 0.5000, 0.5000], [0.5000, 0.0000, 0.5000], [0.5000, 0.5000, 0.0000], [0.0000, 0.0000, 0.5000], [0.0000, 0.5000, 0.0000], [0.5000, 0.0000, 0.0000], [0.5000, 0.5000, 0.5000], [0.2500, 0.2500, 0.2500], [0.2500, 0.7500, 0.7500], [0.7500, 0.2500, 0.7500], [0.7500, 0.7500, 0.2500], [0.2500, 0.2500, 0.7500], [0.2500, 0.7500, 0.2500], [0.7500, 0.2500, 0.2500], [0.7500, 0.7500, 0.7500]],
  "polymorph_energy_mev_per_atom": 45,
  "rho_g_cm3": 8.50,
  "formation_enthalpy_0k_ev_per_atom": -0.71,
  "volume_a3_per_atom": 23.84
}